Entry 1:
VASP calculation (PBE) on an optimized crystal structure of YTm2NbN4.

**Total moment**: 0.00 μB per formula unit
**Final energy**: -71.31 eV per cell
**ΔE_f (raw)**: -1.566 eV/atom
**ρ**: 9.11 g/cm³
**Fermi-level density of states**: 2.3 states/eV/f.u.

abc: 5.777 3.325 5.783
angles: 90.00 109.13 90.00
Space group P2/m (No. 10)
Inequivalent atoms, fractional coordinates:
Y 0.000 0.000 0.000
Tm 0.500 0.000 0.500
Tm 0.500 0.500 0.000
Nb 0.000 0.500 0.500
N 0.241 0.000 0.737
N 0.245 0.500 0.263

Entry 2:
VASP calculation (PBE) on an optimized crystal structure of Tm2ZrNbN4.

**Total moment**: 0.00 μB per formula unit
**Final energy**: -73.65 eV per cell
**ΔE_f (raw)**: -1.598 eV/atom
**ρ**: 9.58 g/cm³
**Fermi-level density of states**: 2.2 states/eV/f.u.

abc: 5.669 3.267 5.733
angles: 90.00 109.28 90.00
Space group P2/m (No. 10)
Inequivalent atoms, fractional coordinates:
Tm 0.000 0.000 0.000
Tm 0.500 0.500 0.000
Zr 0.000 0.500 0.500
Nb 0.500 0.000 0.500
N 0.248 0.000 0.740
N 0.257 0.500 0.262